# Y3TiPd | the Alexandria database | PBE | relaxed
data_Y3TiPd
_symmetry_space_group_name_H-M 'P m -3 m'
_symmetry_Int_Tables_number 221
_symmetry_space_group_name_Hall '-P 4 2 3'
_cell_length_a 5.220
_cell_length_b 5.220
_cell_length_c 5.220
_cell_angle_alpha 90.00
_cell_angle_beta 90.00
_cell_angle_gamma 90.00
loop_
_atom_site_label
_atom_site_type_symbol
_atom_site_fract_x
_atom_site_fract_y
_atom_site_fract_z
Y1 Y 0.000 0.000 0.500
Ti1 Ti 0.000 0.000 0.000
Pd1 Pd 0.500 0.500 0.500
# - uncorrected energy (eV/cell) = -29.782
# - total magnetization (μB/cell) = 0.00
# - formation energy from the elements (eV/atom) = 0.54
# - offset from the most stable computed form (eV/atom) = 0.356